LaHf2InMo | GGA-PBEsol | optimized geometry Values from VASP.

Properties
**DOS at the Fermi energy**: 6.859 states/eV/f.u.
**ΔE_f**: 39.34 kcal/mol of atoms

The structure in Quantum ESPRESSO input format:
```
&SYSTEM
  ibrav = 0, nat = 5, ntyp = 4
/
ATOMIC_SPECIES
La 138.91 La.upf
Mo 95.94 Mo.upf
In 114.82 In.upf
Hf 178.49 Hf.upf
ATOMIC_POSITIONS angstrom
La 0.000 0.000 2.862
Mo 2.570 2.570 2.862
In 0.000 0.000 0.000
Hf 2.570 0.000 0.000
Hf 0.000 2.570 0.000
CELL_PARAMETERS angstrom
5.139 0.000 0.000
0.000 5.139 0.000
0.000 0.000 5.723
```

***

CoPb2Au | GGA-PBEsol | optimized geometry Values from VASP.

Properties
**DOS at the Fermi energy**: 2.688 states/eV/f.u.
**E above lowest polymorph**: 0.00 kcal/mol of atoms
**ΔE_f**: 8.56 kcal/mol of atoms

The structure in Quantum ESPRESSO input format:
```
&SYSTEM
  ibrav = 0, nat = 4, ntyp = 3
/
ATOMIC_SPECIES
Co 58.93 Co.upf
Pb 207.20 Pb.upf
Au 196.97 Au.upf
ATOMIC_POSITIONS angstrom
Co 0.000 0.000 0.000
Pb 1.704 0.984 1.835
Pb 5.112 2.951 6.294
Au 3.408 1.967 4.065
CELL_PARAMETERS angstrom
3.408 0.000 0.000
1.704 2.951 0.000
1.704 0.984 8.129
```

***

SiBiTe2 | GGA-PBEsol | optimized geometry Values from VASP.

Properties
**DOS at the Fermi energy**: 2.175 states/eV/f.u.
**E above lowest polymorph**: 4.19 kcal/mol of atoms
**Energy relative to the elements, uncorrected**: 0.28 eV/atom

The structure in Quantum ESPRESSO input format:
```
&SYSTEM
  ibrav = 0, nat = 4, ntyp = 3
/
ATOMIC_SPECIES
Si 28.09 Si.upf
Bi 208.98 Bi.upf
Te 127.60 Te.upf
ATOMIC_POSITIONS angstrom
Si 0.000 0.000 0.000
Bi 5.254 3.033 2.145
Te 2.627 1.517 1.072
Te 7.880 4.550 3.217
CELL_PARAMETERS angstrom
5.254 0.000 0.000
2.627 4.550 0.000
2.627 1.517 4.290
```

***

ZrIn2Sb | GGA-PBEsol | optimized geometry Values from VASP.

Properties
**DOS at the Fermi energy**: 3.731 states/eV/f.u.
**Energy relative to the elements, uncorrected**: 0.05 eV/atom

The structure in Quantum ESPRESSO input format:
```
&SYSTEM
  ibrav = 0, nat = 4, ntyp = 3
/
ATOMIC_SPECIES
In 114.82 In.upf
Zr 91.22 Zr.upf
Sb 121.76 Sb.upf
ATOMIC_POSITIONS angstrom
In 0.000 0.000 0.000
In 7.672 4.430 3.132
Zr 2.557 1.477 1.044
Sb 5.115 2.953 2.088
CELL_PARAMETERS angstrom
5.115 0.000 0.000
2.557 4.430 0.000
2.557 1.477 4.176
```

***

Ba8Bi4H2O | GGA-PBEsol | optimized geometry Values from VASP.

Properties
**Final energy**: -4.189 eV/atom

The structure in Quantum ESPRESSO input format:
```
&SYSTEM
  ibrav = 0, nat = 15, ntyp = 4
/
ATOMIC_SPECIES
O 16.00 O.upf
Bi 208.98 Bi.upf
H 1.01 H.upf
Ba 137.33 Ba.upf
ATOMIC_POSITIONS angstrom
O 0.000 0.000 0.000
Bi 2.611 2.611 2.558
H 0.000 0.000 10.286
Ba 0.000 2.611 9.507
Ba 0.000 2.611 0.000
H 2.611 2.611 8.728
Ba 0.000 0.000 12.929
Ba 2.611 2.611 15.824
Bi 0.000 0.000 6.830
Bi 0.000 0.000 16.455
Ba 0.000 0.000 3.190
Bi 2.611 2.611 12.183
Ba 2.611 0.000 9.507
Ba 2.611 2.611 6.085
Ba 2.611 0.000 0.000
CELL_PARAMETERS angstrom
5.222 0.000 0.000
0.000 5.222 0.000
-2.611 -2.611 19.013
```

***

LiCu2Pt2 | GGA-PBEsol | optimized geometry Values from VASP.

Properties
**DOS at the Fermi energy**: 5.133 states/eV/f.u.
**ΔE_f**: 3.27 kcal/mol of atoms

The structure in Quantum ESPRESSO input format:
```
&SYSTEM
  ibrav = 0, nat = 5, ntyp = 3
/
ATOMIC_SPECIES
Pt 195.08 Pt.upf
Cu 63.55 Cu.upf
Li 6.94 Li.upf
ATOMIC_POSITIONS angstrom
Pt 0.000 1.892 2.768
Cu 0.000 0.000 4.408
Cu 1.892 1.892 1.128
Li 0.000 0.000 0.000
Pt 1.892 0.000 2.768
CELL_PARAMETERS angstrom
3.784 0.000 0.000
0.000 3.784 0.000
-1.892 -1.892 5.536
```

***

Ni2PBr | GGA-PBEsol | optimized geometry Values from VASP.

Properties
**DOS at the Fermi energy**: 4.822 states/eV/f.u.
**E above lowest polymorph**: 26.18 kcal/mol of atoms
**Energy relative to the elements, uncorrected**: 0.84 eV/atom

The structure in Quantum ESPRESSO input format:
```
&SYSTEM
  ibrav = 0, nat = 4, ntyp = 3
/
ATOMIC_SPECIES
Br 79.90 Br.upf
Ni 58.69 Ni.upf
P 30.97 P.upf
ATOMIC_POSITIONS angstrom
Br -4.173 0.565 3.146
Ni 0.000 0.000 0.000
P -2.086 0.283 1.573
Ni -6.259 0.848 4.720
CELL_PARAMETERS angstrom
-3.681 2.126 0.591
-3.380 -2.000 1.732
-1.285 1.004 3.970
```

***

MnAs2BrCl | GGA-PBEsol | optimized geometry Values from VASP.

Properties
**DOS at the Fermi energy**: 3.144 states/eV/f.u.
**Energy relative to the elements, uncorrected**: 1.03 eV/atom

The structure in Quantum ESPRESSO input format:
```
&SYSTEM
  ibrav = 0, nat = 5, ntyp = 4
/
ATOMIC_SPECIES
Mn 54.94 Mn.upf
As 74.92 As.upf
Cl 35.45 Cl.upf
Br 79.90 Br.upf
ATOMIC_POSITIONS angstrom
Mn -0.330 -4.332 1.071
As -2.015 -0.916 0.675
As 0.211 -1.650 -1.609
Cl 0.000 0.000 0.000
Br 1.474 -1.765 2.004
CELL_PARAMETERS angstrom
-4.031 -1.832 1.351
0.422 -3.301 -3.218
2.949 -3.530 4.009
```

***

Repeat the eighth record exactly.
MnAs2BrCl | GGA-PBEsol | optimized geometry Values from VASP.

Properties
**DOS at the Fermi energy**: 3.144 states/eV/f.u.
**Energy relative to the elements, uncorrected**: 1.03 eV/atom

The structure in Quantum ESPRESSO input format:
```
&SYSTEM
  ibrav = 0, nat = 5, ntyp = 4
/
ATOMIC_SPECIES
Mn 54.94 Mn.upf
As 74.92 As.upf
Cl 35.45 Cl.upf
Br 79.90 Br.upf
ATOMIC_POSITIONS angstrom
Mn -0.330 -4.332 1.071
As -2.015 -0.916 0.675
As 0.211 -1.650 -1.609
Cl 0.000 0.000 0.000
Br 1.474 -1.765 2.004
CELL_PARAMETERS angstrom
-4.031 -1.832 1.351
0.422 -3.301 -3.218
2.949 -3.530 4.009
```